# 1
Here is a relaxed structure of LaNiSn2 from Alexandria via LeMat-Bulk. Energies are from PBE-GGA.

## Properties
E_form: -0.571 eV/atom

Lattice parameters (Å, degrees): 4.317 7.366 6.278 90.00 110.01 90.00
Element x y z (fractional)
La: 0.064 0.250 0.125
La: 0.936 0.750 0.875
Ni: 0.202 0.750 0.406
Ni: 0.798 0.250 0.594
Sn: 0.348 0.046 0.695
Sn: 0.348 0.454 0.695
Sn: 0.652 0.546 0.305
Sn: 0.652 0.954 0.305

---

# 2
Here is a relaxed structure of RbHf3Bi3 from Alexandria via LeMat-Bulk. Energies are from PBE-GGA.

## Properties
E_form: -0.084 eV/atom

Lattice parameters (Å, degrees): 10.426 10.426 5.028 90.00 90.00 120.00
Element x y z (fractional)
Rb: 0.333 0.667 0.250
Rb: 0.667 0.333 0.750
Hf: 0.028 0.833 0.250
Hf: 0.167 0.195 0.250
Hf: 0.195 0.028 0.750
Hf: 0.805 0.972 0.250
Hf: 0.833 0.805 0.750
Hf: 0.972 0.167 0.750
Bi: 0.050 0.685 0.750
Bi: 0.315 0.365 0.750
Bi: 0.365 0.050 0.250
Bi: 0.635 0.950 0.750
Bi: 0.685 0.635 0.250
Bi: 0.950 0.315 0.250

---

# 3
Here is a relaxed structure of Er3SnPd12 from Alexandria via LeMat-Bulk. Energies are from PBE-GGA.

## Properties
E_form: -0.802 eV/atom

Lattice parameters (Å, degrees): 4.095 4.095 16.296 90.00 90.00 90.00
Element x y z (fractional)
Er: 0.000 0.000 0.000
Er: 0.000 0.000 0.251
Er: 0.000 0.000 0.749
Sn: 0.000 0.000 0.500
Pd: 0.000 0.500 0.126
Pd: 0.000 0.500 0.380
Pd: 0.000 0.500 0.620
Pd: 0.000 0.500 0.874
Pd: 0.500 0.000 0.126
Pd: 0.500 0.000 0.380
Pd: 0.500 0.000 0.620
Pd: 0.500 0.000 0.874
Pd: 0.500 0.500 0.000
Pd: 0.500 0.500 0.254
Pd: 0.500 0.500 0.500
Pd: 0.500 0.500 0.746

---

# 4
Here is a relaxed structure of Ca2InTe from Alexandria via LeMat-Bulk. Energies are from PBE-GGA.

## Properties
E above lowest polymorph: 119 meV/atom
uncorrected formation energy: -729 meV per atom

Lattice parameters (Å, degrees): 4.532 4.532 6.525 90.00 90.00 90.00
Element x y z (fractional)
Ca: 0.000 0.000 0.000
Ca: 0.500 0.500 0.500
In: 0.000 0.000 0.500
Te: 0.500 0.500 0.000

---

# 5
Here is a relaxed structure of Tl2InPd8 from Alexandria via LeMat-Bulk. Energies are from PBE-GGA.

## Properties
E above lowest polymorph: 118 meV/atom
E_form: -0.134 eV/atom

Lattice parameters (Å, degrees): 7.440 7.440 4.815 104.24 104.24 120.60
Element x y z (fractional)
Tl: 0.195 0.805 0.000
Tl: 0.805 0.195 0.000
In: 0.500 0.500 0.500
Pd: 0.095 0.095 0.315
Pd: 0.180 0.398 0.869
Pd: 0.294 0.706 0.500
Pd: 0.398 0.180 0.869
Pd: 0.602 0.820 0.131
Pd: 0.706 0.294 0.500
Pd: 0.820 0.602 0.131
Pd: 0.905 0.905 0.685

---

# 6
Here is a relaxed structure of CaZnS2 from Alexandria via LeMat-Bulk. Energies are from PBE-GGA.

## Properties
uncorrected formation energy: -1243 meV per atom

Lattice parameters (Å, degrees): 4.316 4.316 21.083 90.00 90.00 120.00
Element x y z (fractional)
Ca: 0.000 0.000 0.000
Ca: 0.333 0.667 0.667
Ca: 0.667 0.333 0.333
Zn: 0.000 0.000 0.500
Zn: 0.333 0.667 0.167
Zn: 0.667 0.333 0.833
S: 0.000 0.000 0.399
S: 0.000 0.000 0.601
S: 0.333 0.667 0.066
S: 0.333 0.667 0.268
S: 0.667 0.333 0.732
S: 0.667 0.333 0.934

---

# 7
Here is a relaxed structure of Sr2ReS from Alexandria via LeMat-Bulk. Energies are from PBE-GGA.

## Properties
uncorrected formation energy: 398 meV per atom

Lattice parameters (Å, degrees): 8.029 8.029 7.866 90.00 90.00 90.00
Element x y z (fractional)
Sr: 0.221 0.750 0.125
Sr: 0.250 0.221 0.875
Sr: 0.250 0.279 0.375
Sr: 0.279 0.750 0.625
Sr: 0.721 0.250 0.625
Sr: 0.750 0.721 0.375
Sr: 0.750 0.779 0.875
Sr: 0.779 0.250 0.125
Re: 0.000 0.000 0.500
Re: 0.000 0.500 0.750
Re: 0.500 0.000 0.250
Re: 0.500 0.500 0.000
S: 0.000 0.000 0.000
S: 0.000 0.500 0.250
S: 0.500 0.000 0.750
S: 0.500 0.500 0.500

---

# 8
Here is a relaxed structure of PaFeW2 from Alexandria via LeMat-Bulk. Energies are from PBE-GGA.

## Properties
E_form: 0.725 eV/atom

Lattice parameters (Å, degrees): 2.891 2.891 28.823 90.00 90.00 120.00
Element x y z (fractional)
Pa: 0.000 0.000 0.000
Pa: 0.333 0.667 0.667
Pa: 0.667 0.333 0.333
Fe: 0.000 0.000 0.500
Fe: 0.333 0.667 0.167
Fe: 0.667 0.333 0.833
W: 0.000 0.000 0.097
W: 0.000 0.000 0.903
W: 0.333 0.667 0.570
W: 0.333 0.667 0.763
W: 0.667 0.333 0.237
W: 0.667 0.333 0.430

---

# 9
Here is a relaxed structure of HfAs3N from Alexandria via LeMat-Bulk. Energies are from PBE-GGA.

## Properties
E above lowest polymorph: 898 meV/atom
uncorrected formation energy: 1205 meV per atom

Lattice parameters (Å, degrees): 5.152 5.152 5.152 90.00 90.00 90.00
Element x y z (fractional)
Hf: 0.000 0.000 0.000
As: 0.000 0.000 0.500
As: 0.000 0.500 0.000
As: 0.500 0.000 0.000
N: 0.500 0.500 0.500

---

# 10
Here is a relaxed structure of BaNaClF2 from Alexandria via LeMat-Bulk. Energies are from PBE-GGA.

## Properties
uncorrected formation energy: -3000 meV per atom

Lattice parameters (Å, degrees): 4.338 4.338 6.387 90.00 90.00 90.00
Element x y z (fractional)
Ba: 0.000 0.000 0.000
Na: 0.500 0.500 0.348
Cl: 0.500 0.500 0.780
F: 0.000 0.500 0.222
F: 0.500 0.000 0.222

---

# 11
Here is a relaxed structure of KMgSe from Alexandria via LeMat-Bulk. Energies are from PBE-GGA.

## Properties
E above lowest polymorph: 109 meV/atom
uncorrected formation energy: -843 meV per atom

Lattice parameters (Å, degrees): 12.418 4.657 6.982 90.00 104.16 90.00
Element x y z (fractional)
K: 0.000 0.000 0.000
K: 0.226 0.500 0.333
K: 0.500 0.500 0.000
K: 0.726 0.000 0.333
Mg: 0.282 0.000 0.747
Mg: 0.452 0.000 0.505
Mg: 0.782 0.500 0.747
Mg: 0.952 0.500 0.505
Se: 0.074 0.000 0.539
Se: 0.335 0.000 0.125
Se: 0.574 0.500 0.539
Se: 0.835 0.500 0.125

---

# 12
Here is a relaxed structure of Cs2RbHg4Au3 from Alexandria via LeMat-Bulk. Energies are from PBE-GGA.

## Properties
E_form: -0.218 eV/atom

Lattice parameters (Å, degrees): 5.201 5.201 13.031 90.00 90.00 90.00
Element x y z (fractional)
Cs: 0.000 0.500 0.215
Cs: 0.500 0.000 0.785
Rb: 0.000 0.000 0.500
Hg: 0.000 0.000 0.000
Hg: 0.000 0.500 0.674
Hg: 0.500 0.000 0.326
Hg: 0.500 0.500 0.000
Au: 0.000 0.500 0.895
Au: 0.500 0.000 0.105
Au: 0.500 0.500 0.500

---

Calculated volume (Å³ per atom)
23.449, 33.812, 17.080, 33.502, 18.103, 28.346, 31.689, 17.387, 27.348, 24.044, 32.626, 35.256
Magnetic moment (μB/cell)
0.000, 0.000, 0.000, 0.442, 0.000, 0.000, 12.000, 5.325, 2.200, 0.000, 0.000, 0.000